1.
Material: Al2GeB
Method: DFT, GGA-PBE
State: optimized geometry

Cell: 5.8611 5.8611 5.9948 Å, 60.73 60.73 90.00°
Last column: nearest neighbours and their distance in Å.
Element x y z (fractional)
Al 0.8750 0.7950 0.7500  2 B 2.08
Al 0.2050 0.6250 0.2500  2 B 2.08
Al 0.5450 0.1250 0.2500  2 B 2.08
Al 0.3750 0.4550 0.7500  2 B 2.08
Ge 0.7500 0.2500 0.5000  4 Al 2.66
Ge 0.0000 0.0000 0.0000  4 Al 2.66
B 0.2500 0.7500 0.5000  4 Al 2.08
B 0.5000 0.5000 0.0000  4 Al 2.08

- calculated volume (Å³/cell) = 148.80
- space group = I-42d

***

2.
Material: AlGe2B
Method: DFT, GGA-PBE
State: optimized geometry

Cell: 5.5318 5.5318 6.2516 Å, 63.74 63.74 90.00°
Last column: nearest neighbours and their distance in Å.
Element x y z (fractional)
Ge 0.1960 0.6250 0.2500  2 B 2.09
Ge 0.3750 0.4460 0.7500  2 B 2.09
B 0.5000 0.5000 0.0000  4 Ge 2.09
Al 0.7500 0.2500 0.5000  4 Ge 2.56
B 0.2500 0.7500 0.5000  4 Ge 2.09
Ge 0.8750 0.8040 0.7500  2 B 2.09
Ge 0.5540 0.1250 0.2500  2 B 2.09
Al 0.0000 0.0000 0.0000  4 Ge 2.56

- calculated volume (Å³/cell) = 149.23
- space group = I-42d

***

3.
Material: AlGeB3
Method: DFT, GGA-PBE
State: optimized geometry

Cell: 4.1403 4.1403 4.1403 Å, 90.00 90.00 90.00°
Last column: nearest neighbours and their distance in Å.
Element x y z (fractional)
B 0.0000 0.0000 0.5000  2 Ge 2.07
B 0.0000 0.5000 0.0000  2 Ge 2.07
Ge 0.0000 0.0000 0.0000  6 B 2.07
Al 0.5000 0.5000 0.5000  12 B 2.93
B 0.5000 0.0000 0.0000  2 Ge 2.07

- calculated volume (Å³/cell) = 70.97
- space group = Pm-3m

***

4.
Material: AlGe2B
Method: DFT, GGA-PBE
State: optimized geometry

Cell: 4.4581 4.4581 4.4581 Å, 60.00 60.00 60.00°
Last column: nearest neighbours and their distance in Å.
Element x y z (fractional)
Ge 0.7500 0.7500 0.7500  4 B 2.73, 4 Al 2.73
Al 0.5000 0.5000 0.5000  8 Ge 2.73
B 0.0000 0.0000 0.0000  8 Ge 2.73
Ge 0.2500 0.2500 0.2500  4 Al 2.73, 4 B 2.73

- calculated volume (Å³/cell) = 62.65
- space group = Fm-3m

***

5.
Material: Na4Al3Ge3BH4O12
Method: DFT, GGA-PBE
State: optimized geometry

Cell: 9.1211 9.1211 9.1211 Å, 90.00 90.00 90.00°
Last column: nearest neighbours and their distance in Å.
Element x y z (fractional)
O 0.1433 0.5750 0.8570  1 Ge 1.77, 1 Al 1.77
Al 0.0000 0.5000 0.2500  4 O 1.77
O 0.4250 0.8570 0.8567  1 Ge 1.77, 1 Al 1.77
O 0.8570 0.1433 0.5750  1 Ge 1.77, 1 Al 1.77
O 0.8567 0.4250 0.8570  1 Ge 1.77, 1 Al 1.77
H 0.0778 0.0778 0.9222  1 B 1.23
Na 0.1713 0.8287 0.8287  3 O 2.34, 3 H 2.57
O 0.9250 0.6433 0.6430  1 Ge 1.77, 1 Al 1.77
O 0.6433 0.6430 0.9250  1 Ge 1.77, 1 Al 1.77
B 0.0000 0.0000 0.0000  4 H 1.23
Na 0.3287 0.6713 0.3287  3 O 2.34, 3 H 2.57
Ge 0.0000 0.2500 0.5000  4 O 1.77
H 0.5778 0.5778 0.4222  1 B 1.23
Ge 0.0000 0.7500 0.5000  4 O 1.77
O 0.4250 0.1430 0.1433  1 Ge 1.77, 1 Al 1.77
O 0.3570 0.9250 0.3567  1 Ge 1.77, 1 Al 1.77
Na 0.6713 0.6713 0.6713  3 O 2.34, 3 H 2.57
H 0.4222 0.5778 0.5778  1 B 1.23
H 0.4222 0.4222 0.4222  1 B 1.23
Al 0.7500 0.0000 0.5000  4 O 1.77
Ge 0.5000 0.0000 0.2500  4 O 1.77
O 0.1430 0.8567 0.5750  1 Ge 1.77, 1 Al 1.77
O 0.1430 0.1433 0.4250  1 Ge 1.77, 1 Al 1.77
Ge 0.2500 0.5000 0.0000  4 O 1.77
O 0.3570 0.0750 0.6433  1 Ge 1.77, 1 Al 1.77
Al 0.2500 0.0000 0.5000  4 O 1.77
O 0.8570 0.8567 0.4250  1 Ge 1.77, 1 Al 1.77
O 0.6430 0.9250 0.6433  1 Ge 1.77, 1 Al 1.77
O 0.5750 0.1430 0.8567  1 Ge 1.77, 1 Al 1.77
H 0.9222 0.9222 0.9222  1 B 1.23
B 0.5000 0.5000 0.5000  4 H 1.23
Ge 0.7500 0.5000 0.0000  4 O 1.77
H 0.5778 0.4222 0.5778  1 B 1.23
Al 0.0000 0.5000 0.7500  4 O 1.77
H 0.0778 0.9222 0.0778  1 B 1.23
Na 0.6713 0.3287 0.3287  3 O 2.34, 3 H 2.57
O 0.6430 0.0750 0.3567  1 Ge 1.77, 1 Al 1.77
Na 0.8287 0.1713 0.8287  3 O 2.34, 3 H 2.57
Al 0.5000 0.2500 0.0000  4 O 1.77
O 0.3567 0.3570 0.9250  1 Ge 1.77, 1 Al 1.77
Na 0.3287 0.3287 0.6713  3 O 2.34, 3 H 2.57
O 0.0750 0.3567 0.6430  1 Ge 1.77, 1 Al 1.77
O 0.8567 0.5750 0.1430  1 Ge 1.77, 1 Al 1.77
O 0.6433 0.3570 0.0750  1 Ge 1.77, 1 Al 1.77
Ge 0.5000 0.0000 0.7500  4 O 1.77
H 0.9222 0.0778 0.0778  1 B 1.23
O 0.9250 0.3567 0.3570  1 Ge 1.77, 1 Al 1.77
Al 0.5000 0.7500 0.0000  4 O 1.77
O 0.3567 0.6430 0.0750  1 Ge 1.77, 1 Al 1.77
O 0.5750 0.8570 0.1433  1 Ge 1.77, 1 Al 1.77
Na 0.1713 0.1713 0.1713  3 O 2.34, 3 H 2.57
Na 0.8287 0.8287 0.1713  3 O 2.34, 3 H 2.57
O 0.1433 0.4250 0.1430  1 Ge 1.77, 1 Al 1.77
O 0.0750 0.6433 0.3570  1 Ge 1.77, 1 Al 1.77

- calculated volume (Å³/cell) = 758.83
- space group = P-43n

***

6.
Material: AlGeBI2
Method: DFT, GGA-PBE
State: optimized geometry

Cell: 5.4977 4.0894 5.4977 Å, 90.00 90.00 90.00°
Last column: nearest neighbours and their distance in Å.
Element x y z (fractional)
I 0.0000 0.0000 0.5000  2 B 2.75
I 0.5000 0.0000 0.0000  2 B 2.75
Ge 0.5000 0.5000 0.5000  8 I 3.43
B 0.0000 0.0000 0.0000  2 Al 2.04
Al 0.0000 0.5000 0.0000  2 B 2.04

- calculated volume (Å³/cell) = 123.60
- uncorrected formation energy (meV per atom) = 724
- space group = P4/mmm

***

These records have M_tot values of 0.0 0.0 0.0 0.0 0.0 0.0 Bohr magnetons per cell, in the order they appear.
These records have energy values of -4.161 -4.539 -3.851 -4.013 -5.921 -2.903 eV per atom, in the order they appear.
These records have DOS(E_F) values of 2.5 0.8 2.3 2.0 0.0 3.2 states/eV/f.u., in the order they appear.